# 1
VASP calculation (PBE-GGA) on Pm5Pr2Er12 after structural relaxation.

Its formation energy is 0.13 eV per atom. Its crystal system is monoclinic. The energy above the most stable polymorph in this dataset is 63 meV/atom. The density of states at the Fermi level comes out at 1.361 states/eV per atom. The total magnetization comes out at 0.002 μB per formula unit. The space group is C2/m, No. 12.

a b c (Å): 9.287 12.340 8.617
angles (deg): 132.57 90.00 112.11
Positions (direct):
Pm (0.296, 0.592, 0.607)
Pm (0.231, 0.461, 0.888)
Pm (0.000, 0.000, 0.500)
Pm (0.769, 0.539, 0.112)
Pm (0.704, 0.408, 0.393)
Pr (0.679, 0.000, 0.000)
Pr (0.321, 0.000, 0.000)
Er (0.082, 0.163, 0.285)
Er (0.028, 0.699, 0.942)
Er (0.671, 0.699, 0.942)
Er (0.182, 0.743, 0.402)
Er (0.561, 0.743, 0.402)
Er (0.557, 0.114, 0.780)
Er (0.443, 0.886, 0.220)
Er (0.818, 0.257, 0.598)
Er (0.439, 0.257, 0.598)
Er (0.972, 0.301, 0.058)
Er (0.329, 0.301, 0.058)
Er (0.918, 0.837, 0.715)

***

# 2
VASP calculation (PBE-GGA) on Pm4PrEr7 after structural relaxation.

Its formation energy is 0.26 eV per atom. Its crystal system is monoclinic. The energy above the most stable polymorph in this dataset is 175 meV/atom. The density of states at the Fermi level comes out at 1.623 states/eV per atom. The total magnetization comes out at 0.000 μB per formula unit. The space group is C2/m, No. 12.

a b c (Å): 5.891 11.618 6.748
angles (deg): 83.15 64.12 75.31
Positions (direct):
Pm (0.635, 0.224, 0.507)
Pm (0.365, 0.776, 0.493)
Pm (0.768, 0.672, 0.792)
Pm (0.232, 0.328, 0.208)
Pr (0.000, 0.000, 0.000)
Er (0.789, 0.923, 0.499)
Er (0.211, 0.077, 0.501)
Er (0.066, 0.679, 0.189)
Er (0.934, 0.321, 0.811)
Er (0.367, 0.498, 0.768)
Er (0.500, 0.000, 0.000)
Er (0.633, 0.502, 0.232)

***

# 3
VASP calculation (PBE-GGA) on Pm6PrEr3 after structural relaxation.

Its formation energy is 0.13 eV per atom. Its crystal system is orthorhombic. The energy above the most stable polymorph in this dataset is 0 meV/atom. The density of states at the Fermi level comes out at 1.458 states/eV per atom. The total magnetization comes out at 0.001 μB per formula unit. The space group is Cmc2_1, No. 36.

a b c (Å): 6.470 11.744 11.744
angles (deg): 130.77 90.00 90.00
Positions (direct):
Pm (0.078, 0.737, 0.620)
Pm (0.578, 0.620, 0.737)
Pm (0.330, 0.456, 0.892)
Pm (0.830, 0.892, 0.456)
Pm (0.291, 0.986, 0.014)
Pm (0.802, 0.301, 0.699)
Pm (0.302, 0.699, 0.301)
Pm (0.791, 0.014, 0.986)
Pm (0.330, 0.108, 0.544)
Pm (0.830, 0.544, 0.108)
Pm (0.078, 0.380, 0.263)
Pm (0.578, 0.263, 0.380)
Pr (0.006, 0.157, 0.843)
Pr (0.506, 0.843, 0.157)
Er (0.485, 0.958, 0.704)
Er (0.985, 0.704, 0.958)
Er (0.100, 0.419, 0.581)
Er (0.600, 0.581, 0.419)
Er (0.985, 0.042, 0.296)
Er (0.485, 0.296, 0.042)

***

# 4
VASP calculation (PBE-GGA) on Pm5Pr2Er2 after structural relaxation.

Its formation energy is 0.02 eV per atom. Its crystal system is monoclinic. The energy above the most stable polymorph in this dataset is 0 meV/atom. The density of states at the Fermi level comes out at 1.503 states/eV per atom. The total magnetization comes out at 0.000 μB per formula unit. The space group is C2/m, No. 12.

a b c (Å): 5.137 9.614 8.118
angles (deg): 126.25 89.97 105.48
Positions (direct):
Pm (0.443, 0.885, 0.220)
Pm (0.557, 0.115, 0.780)
Pm (0.112, 0.224, 0.560)
Pm (0.888, 0.776, 0.440)
Pm (0.000, 0.000, 0.000)
Pr (0.334, 0.668, 0.666)
Pr (0.666, 0.332, 0.334)
Er (0.222, 0.445, 0.109)
Er (0.778, 0.555, 0.891)

***

# 5
VASP calculation (PBE-GGA) on Pm4PrEr5 after structural relaxation.

Its formation energy is 0.20 eV per atom. Its crystal system is monoclinic. The energy above the most stable polymorph in this dataset is 0 meV/atom. The density of states at the Fermi level comes out at 1.396 states/eV per atom. The total magnetization comes out at 0.000 μB per formula unit. The space group is C2/m, No. 12.

a b c (Å): 3.540 11.215 8.766
angles (deg): 90.24 101.66 90.04
Positions (direct):
Pm (0.655, 0.250, 0.312)
Pm (0.968, 0.253, 0.938)
Pm (0.345, 0.750, 0.688)
Pm (0.032, 0.747, 0.062)
Pr (0.500, 0.000, 0.000)
Er (0.173, 0.547, 0.346)
Er (0.174, 0.947, 0.350)
Er (0.826, 0.053, 0.650)
Er (0.500, 0.500, 0.000)
Er (0.827, 0.453, 0.654)

***

# 6
VASP calculation (PBE-GGA) on Pm5Pr4Er3 after structural relaxation.

Its formation energy is 0.21 eV per atom. Its crystal system is monoclinic. The density of states at the Fermi level comes out at 1.653 states/eV per atom. The total magnetization comes out at 0.000 μB per formula unit. The space group is C2/m, No. 12.

a b c (Å): 6.006 8.747 9.820
angles (deg): 105.84 72.19 69.92
Positions (direct):
Pm (0.630, 0.944, 0.797)
Pm (0.500, 0.500, 0.500)
Pm (0.216, 0.455, 0.112)
Pm (0.784, 0.545, 0.888)
Pm (0.370, 0.056, 0.203)
Pr (0.860, 0.224, 0.057)
Pr (0.160, 0.058, 0.621)
Pr (0.840, 0.942, 0.379)
Pr (0.140, 0.776, 0.943)
Er (0.520, 0.690, 0.271)
Er (0.000, 0.500, 0.500)
Er (0.480, 0.310, 0.729)

***

# 7
VASP calculation (PBE-GGA) on Pm2Pr2Er3 after structural relaxation.

Its formation energy is 0.18 eV per atom. Its crystal system is monoclinic. The energy above the most stable polymorph in this dataset is 0 meV/atom. The density of states at the Fermi level comes out at 1.292 states/eV per atom. The total magnetization comes out at 0.000 μB per formula unit. The space group is P2_1/c, No. 14.

a b c (Å): 6.348 6.197 13.005
angles (deg): 90.00 90.00 111.86
Positions (direct):
Pm (0.625, 0.407, 0.822)
Pm (0.125, 0.407, 0.678)
Pm (0.875, 0.593, 0.322)
Pm (0.375, 0.593, 0.178)
Pr (0.629, 0.898, 0.709)
Pr (0.129, 0.898, 0.791)
Pr (0.871, 0.102, 0.209)
Pr (0.371, 0.102, 0.291)
Er (0.000, 0.000, 0.500)
Er (0.500, 0.000, 0.000)
Er (0.883, 0.668, 0.050)
Er (0.617, 0.332, 0.550)
Er (0.383, 0.668, 0.450)
Er (0.117, 0.332, 0.950)

***

# 8
VASP calculation (PBE-GGA) on Pm3Pr12Er after structural relaxation.

Its formation energy is 0.01 eV per atom. Its crystal system is tetragonal. The density of states at the Fermi level comes out at 1.576 states/eV per atom. The total magnetization comes out at 0.000 μB per formula unit. The space group is P4/mmm, No. 123.

a b c (Å): 5.218 5.218 20.834
angles (deg): 90.00 90.00 90.00
Positions (direct):
Pm (0.000, 0.000, 0.249)
Pm (0.000, 0.000, 0.500)
Pm (0.000, 0.000, 0.751)
Pr (0.500, 0.500, 0.000)
Pr (0.500, 0.500, 0.249)
Pr (0.500, 0.500, 0.500)
Pr (0.500, 0.500, 0.751)
Pr (0.500, 0.000, 0.123)
Pr (0.500, 0.000, 0.374)
Pr (0.500, 0.000, 0.626)
Pr (0.500, 0.000, 0.877)
Pr (0.000, 0.500, 0.123)
Pr (0.000, 0.500, 0.374)
Pr (0.000, 0.500, 0.626)
Pr (0.000, 0.500, 0.877)
Er (0.000, 0.000, 0.000)